No. 1
Material: LiTm2ZrP4
Method: DFT, GGA-PBE
State: optimized geometry

Final energy in eV/atom: -6.25
Space group: P2/m, No. 10

Cell lengths 3.8454, 6.7690, 6.6027 Å; angles 109.59, 90.00, 90.00 degrees
Positions (direct):
Li: 0.5000 0.5000 0.0000
Tm: 0.5000 0.0000 0.5000
Tm: 0.0000 0.5000 0.5000
Zr: 0.0000 0.0000 0.0000
P: 0.5000 0.2434 0.2385
P: 0.5000 0.7566 0.7615
P: 0.0000 0.2468 0.7600
P: 0.0000 0.7532 0.2400

No. 2
Material: Tb6Pm2Sm3Tl
Method: DFT, GGA-PBE
State: optimized geometry

Final energy in eV/atom: -4.51
Space group: C2/m, No. 12

Cell lengths 6.1606, 6.1606, 11.8084 Å; angles 95.02, 95.02, 120.05 degrees
Positions (direct):
Tb: 0.9180 0.5906 0.7526
Tb: 0.7549 0.7549 0.2488
Tb: 0.0820 0.4094 0.2474
Tb: 0.5906 0.9180 0.7526
Tb: 0.2451 0.2451 0.7512
Tb: 0.4094 0.0820 0.2474
Pm: 0.3338 0.6662 0.0000
Pm: 0.6662 0.3338 0.0000
Sm: 0.1674 0.8326 0.5000
Sm: 0.8326 0.1674 0.5000
Sm: 0.5000 0.5000 0.5000
Tl: 0.0000 0.0000 0.0000

No. 3
Material: Zn6Ga12Sn
Method: DFT, GGA-PBE
State: optimized geometry

Final energy in eV/atom: -2.47
Space group: R-3m, No. 166

Cell lengths 7.5215, 7.5215, 7.5215 Å; angles 106.51, 106.51, 106.51 degrees
Positions (direct):
Zn: 0.6898 0.3083 0.3083
Zn: 0.3083 0.3083 0.6898
Zn: 0.3083 0.6898 0.3083
Zn: 0.6917 0.6917 0.3102
Zn: 0.3102 0.6917 0.6917
Zn: 0.6917 0.3102 0.6917
Ga: 0.8841 0.1159 0.5000
Ga: 0.9061 0.6494 0.6494
Ga: 0.6494 0.6494 0.9061
Ga: 0.3506 0.0939 0.3506
Ga: 0.3506 0.3506 0.0939
Ga: 0.0939 0.3506 0.3506
Ga: 0.1159 0.5000 0.8841
Ga: 0.5000 0.8841 0.1159
Ga: 0.1159 0.8841 0.5000
Ga: 0.8841 0.5000 0.1159
Ga: 0.5000 0.1159 0.8841
Ga: 0.6494 0.9061 0.6494
Sn: 0.0000 0.0000 0.0000

No. 4
Material: KZrMo
Method: DFT, GGA-PBE
State: optimized geometry

Final energy in eV/atom: -6.06
Space group: Fmm2, No. 42

Cell lengths 8.8977, 8.6991, 3.0915 Å; angles 83.53, 76.28, 20.20 degrees
Positions (direct):
K: 0.0103 0.0103 0.9897
Mo: 0.6868 0.6868 0.3132
Zr: 0.3028 0.3028 0.6972

No. 5
Material: Ca16Mg12Cd
Method: DFT, GGA-PBE
State: optimized geometry

Final energy in eV/atom: -1.85
Space group: Cm, No. 8

Cell lengths 10.5378, 10.5378, 10.7259 Å; angles 109.05, 109.05, 108.28 degrees
Positions (direct):
Ca: 0.3642 0.3642 0.3194
Ca: 0.0000 0.0000 0.0055
Ca: 0.9943 0.9943 0.6615
Ca: 0.2943 0.2943 0.6930
Ca: 0.6610 0.4228 0.0152
Ca: 0.5923 0.2899 0.5990
Ca: 0.0001 0.6882 0.4041
Ca: 0.9986 0.6429 0.0045
Ca: 0.7098 0.3253 0.3127
Ca: 0.4014 0.9946 0.6806
Ca: 0.9946 0.4014 0.6806
Ca: 0.3253 0.7098 0.3127
Ca: 0.6429 0.9986 0.0045
Ca: 0.6882 0.0001 0.4041
Ca: 0.2899 0.5923 0.5990
Ca: 0.4228 0.6610 0.0152
Mg: 0.8272 0.8272 0.1903
Mg: 0.6427 0.6427 0.8290
Mg: 0.3472 0.1617 0.9810
Mg: 0.8207 0.6392 0.6404
Mg: 0.1875 0.9988 0.3547
Mg: 0.3668 0.9914 0.1729
Mg: 0.1814 0.8062 0.8187
Mg: 0.8062 0.1814 0.8187
Mg: 0.9914 0.3668 0.1729
Mg: 0.9988 0.1875 0.3547
Mg: 0.6392 0.8207 0.6404
Mg: 0.1617 0.3472 0.9810
Cd: 0.6494 0.6494 0.3339

No. 6
Material: LiInSnF6
Method: DFT, GGA-PBE
State: optimized geometry

Space group: P-31c, No. 163
Formation energy from raw total energies in eV/atom: -2.538

Cell lengths 5.4743, 5.4743, 10.3927 Å; angles 90.00, 90.00, 120.00 degrees
Positions (direct):
Li: 0.3333 0.6667 0.2500
Li: 0.6667 0.3333 0.7500
In: 0.6667 0.3333 0.2500
In: 0.3333 0.6667 0.7500
Sn: 0.0000 0.0000 0.0000
Sn: 0.0000 0.0000 0.5000
F: 0.6416 0.6451 0.1401
F: 0.0035 0.3584 0.1401
F: 0.3584 0.0035 0.6401
F: 0.9965 0.6416 0.8599
F: 0.3549 0.3584 0.3599
F: 0.0035 0.6451 0.3599
F: 0.6451 0.0035 0.8599
F: 0.6416 0.9965 0.3599
F: 0.9965 0.3549 0.6401
F: 0.3549 0.9965 0.1401
F: 0.6451 0.6416 0.6401
F: 0.3584 0.3549 0.8599